#i
CdHgPdPb2 | PBE-GGA | optimized geometry

Summary:
mass density	10.90	g/cm3
density of states at the Fermi level	4.542	states/eV per cell

a = 4.1266 Å, b = 4.1266 Å, c = 14.9241 Å
α = 90.00°, β = 90.00°, γ = 90.00°
With the nearest neighbours (Å) after each atom.
Space group P4/nmm (No. 129, origin choice 2)
Symmetry-distinct sites (fractional):
Cd (0.2500, 0.7500, 0.0000) [2 per cell]  4 Cd 2.92, 4 Hg 3.09
Hg (0.2500, 0.2500, 0.1542) [2 per cell]  4 Cd 3.09, 4 Pb 3.15
Pd (0.2500, 0.2500, 0.5777) [2 per cell]  6 Pb 2.79-2.96
Pb (0.2500, 0.2500, 0.3907) [2 per cell]  5 Pd 2.79-2.96
Pb (0.2500, 0.2500, 0.7660) [2 per cell]  1 Pd 2.81

#ii
CdHgPdPb2 | PBE-GGA | optimized geometry

Summary:
mass density	9.17	g/cm3
density of states at the Fermi level	2.490	states/eV per cell

a = 5.3593 Å, b = 5.3593 Å, c = 5.2576 Å
α = 90.00°, β = 90.00°, γ = 90.00°
With the nearest neighbours (Å) after each atom.
Space group P4/mmm (No. 123)
Symmetry-distinct sites (fractional):
Cd (0.0000, 0.0000, 0.0000) [1 per cell]  2 Pd 2.63
Hg (0.5000, 0.5000, 0.0000) [1 per cell]  8 Pb 3.75, 4 Cd 3.79
Pd (0.0000, 0.0000, 0.5000) [1 per cell]  2 Cd 2.63, 4 Pb 2.68
Pb (0.0000, 0.5000, 0.5000) [2 per cell]  2 Pd 2.68

Least stable of them? #ii.

#i
PmCdHgPb | PBE-GGA | optimized geometry

Summary:
mass density	10.52	g/cm3
density of states at the Fermi level	1.830	states/eV per cell

a = 4.5273 Å, b = 4.6996 Å, c = 4.9347 Å
α = 90.00°, β = 90.00°, γ = 90.00°
With the nearest neighbours (Å) after each atom.
Space group Pmmm (No. 47)
Symmetry-distinct sites (fractional):
Pm (0.0000, 0.0000, 0.0000) [1 per cell]  4 Pb 3.26, 4 Hg 3.35, 4 Cd 3.41
Cd (0.0000, 0.5000, 0.5000) [1 per cell]  4 Hg 3.26, 4 Pb 3.35, 4 Pm 3.41
Hg (0.5000, 0.0000, 0.5000) [1 per cell]  4 Cd 3.26, 4 Pm 3.35, 4 Pb 3.41
Pb (0.5000, 0.5000, 0.0000) [1 per cell]  4 Pm 3.26, 4 Cd 3.35, 4 Hg 3.41

#ii
PmCdHgPb | PBE-GGA | optimized geometry

Summary:
mass density	10.31	g/cm3
density of states at the Fermi level	13.205	states/eV per cell

a = 7.5385 Å, b = 7.5385 Å, c = 7.5385 Å
α = 90.00°, β = 90.00°, γ = 90.00°
With the nearest neighbours (Å) after each atom.
Space group F-43m (No. 216)
Symmetry-distinct sites (fractional):
Pm (0.0000, 0.0000, 0.0000) [4 per cell]  4 Hg 3.26, 4 Pb 3.26
Cd (0.0000, 0.0000, 0.5000) [4 per cell]  4 Hg 3.26, 4 Pb 3.26
Hg (0.2500, 0.2500, 0.2500) [4 per cell]  4 Cd 3.26, 4 Pm 3.26
Pb (0.2500, 0.2500, 0.7500) [4 per cell]  4 Cd 3.26, 4 Pm 3.26

Least stable of them? #ii.